[1]
Na2NpPdO6 | PBE-GGA | optimized geometry

Properties
- Theoretical density: 6.345 g/cm3
- Raw formation energy: -1776 meV per atom
- Fermi-level density of states: 4.5 states/eV per cell
- Calculated volume: 127.03 Å³ per cell

a b c (Å): 5.642 5.642 5.644
angles (deg): 59.99 60.00 60.00
Fractional coordinates of all 10 atoms:
1 Pd 0.316 0.316 0.051
2 O 0.992 0.564 0.300
3 O 0.144 0.992 0.300
4 O 0.640 0.068 0.803
5 O 0.067 0.489 0.803
6 O 0.565 0.144 0.300
7 O 0.489 0.641 0.803
8 Na 0.066 0.067 0.800
9 Na 0.566 0.565 0.304
10 Np 0.816 0.816 0.551

=====

[2]
NaNpPd2O8 | PBE-GGA | optimized geometry

Properties
- Theoretical density: 6.554 g/cm3
- Raw formation energy: -1225 meV per atom
- Fermi-level density of states: 7.8 states/eV per cell
- Calculated volume: 152.24 Å³ per cell

a b c (Å): 4.891 4.867 6.399
angles (deg): 90.00 90.00 87.64
Fractional coordinates of all 12 atoms:
1 O 0.199 0.796 0.223
2 O 0.199 0.796 0.777
3 O 0.801 0.204 0.777
4 O 0.330 0.324 0.500
5 O 0.670 0.676 0.500
6 O 0.684 0.689 0.000
7 O 0.801 0.204 0.223
8 O 0.316 0.311 0.000
9 Np 0.000 0.000 0.000
10 Na 0.000 0.000 0.500
11 Pd 0.500 0.500 0.748
12 Pd 0.500 0.500 0.252

=====

[3]
Na2NpPd2O6 | PBE-GGA | optimized geometry

Properties
- Theoretical density: 6.258 g/cm3
- Raw formation energy: -1602 meV per atom
- Fermi-level density of states: 2.1 states/eV per cell
- Calculated volume: 157.03 Å³ per cell

a b c (Å): 5.481 5.481 6.426
angles (deg): 105.04 105.04 112.88
Fractional coordinates of all 11 atoms:
1 O 0.742 0.742 0.690
2 O 0.982 0.655 0.269
3 O 0.345 0.018 0.731
4 O 0.655 0.982 0.269
5 O 0.018 0.345 0.731
6 O 0.258 0.258 0.310
7 Na 0.180 0.820 0.000
8 Na 0.820 0.180 0.000
9 Pd 0.666 0.334 0.500
10 Pd 0.334 0.666 0.500
11 Np 0.000 0.000 0.500

=====

[4]
NaNp2PdO8 | PBE-GGA | optimized geometry

Properties
- Theoretical density: 7.096 g/cm3
- Raw formation energy: -2109 meV per atom
- Fermi-level density of states: 7.8 states/eV per cell
- Calculated volume: 171.17 Å³ per cell

a b c (Å): 4.952 4.967 7.017
angles (deg): 95.20 85.46 93.07
Fractional coordinates of all 12 atoms:
1 O 0.304 0.301 0.002
2 O 0.254 0.743 0.275
3 O 0.321 0.322 0.503
4 O 0.746 0.257 0.725
5 O 0.696 0.699 0.998
6 O 0.216 0.783 0.784
7 O 0.784 0.217 0.216
8 O 0.679 0.678 0.497
9 Na 0.000 0.000 0.500
10 Pd 0.000 0.000 0.000
11 Np 0.512 0.486 0.250
12 Np 0.488 0.514 0.750